Record 1
{"formula": "Ti2Ge2Bi", "functional": "GGA-PBE", "state": "relaxed", "lattice": [[7.280, 0.000, 0.000], [0.000, 7.280, 0.000], [0.000, 0.000, 3.619]], "species": ["Ti", "Ti", "Ti", "Ti", "Ge", "Ge", "Ge", "Ge", "Bi", "Bi"], "fractional_positions": [[0.148, 0.352, 0.000], [0.352, 0.852, 0.000], [0.648, 0.148, 0.000], [0.852, 0.648, 0.000], [0.143, 0.643, 0.500], [0.357, 0.143, 0.500], [0.643, 0.857, 0.500], [0.857, 0.357, 0.500], [0.000, 0.000, 0.000], [0.500, 0.500, 0.000]], "spacegroup": "P4/mbm (127)", "dos_ef_per_ev_fu": 2.906, "final_energy_ev_per_atom": -5.9502, "formation_enthalpy_0k_ev_per_atom": -0.169, "magmom_total_mub_per_cell": 0.000}

---

Record 2
{"formula": "TiGeBi2", "functional": "GGA-PBE", "state": "relaxed", "lattice": [[6.494, 0.000, 0.000], [0.000, 6.494, 0.000], [0.000, 0.000, 13.174]], "species": ["Ti", "Ti", "Ti", "Ti", "Ge", "Ge", "Ge", "Ge", "Bi", "Bi", "Bi", "Bi", "Bi", "Bi", "Bi", "Bi"], "fractional_positions": [[0.000, 0.000, 0.000], [0.000, 0.500, 0.250], [0.500, 0.000, 0.750], [0.500, 0.500, 0.500], [0.000, 0.000, 0.500], [0.000, 0.500, 0.750], [0.500, 0.000, 0.250], [0.500, 0.500, 0.000], [0.235, 0.250, 0.125], [0.250, 0.735, 0.375], [0.250, 0.765, 0.875], [0.265, 0.250, 0.625], [0.735, 0.750, 0.625], [0.750, 0.235, 0.875], [0.750, 0.265, 0.375], [0.765, 0.750, 0.125]], "spacegroup": "I-42d (122)", "dos_ef_per_ev_fu": 1.225, "final_energy_ev_per_atom": -4.6842, "formation_enthalpy_0k_ev_per_atom": 0.384, "magmom_total_mub_per_cell": 0.000}